A geometry-optimized KBaYI6 structure, computed with GGA-PBE.

```
18
Lattice="8.484 0.000 0.000 -4.242 7.348 0.000 0.000 0.000 14.943" Properties=species:S:1:pos:R:3 pbc="T T T"
K 0.000 0.000 0.000
K 0.000 0.000 7.472
Ba 0.000 4.898 3.736
Ba 4.242 2.449 11.208
Y 4.242 2.449 3.736
Y 0.000 4.898 11.208
I 2.960 4.571 1.952
I 6.721 2.499 1.952
I -1.196 7.070 9.423
I -2.479 4.849 12.992
I 1.763 2.499 5.520
I 5.525 4.571 5.520
I 1.196 7.070 12.992
I 5.438 0.278 5.520
I -1.283 2.777 9.423
I 3.046 0.278 1.952
I 2.479 4.849 9.423
I 1.283 2.777 12.992
```

Results
Total energy ... -65.341 eV per cell
Fermi-level density of states ... 0.00 states/eV per atom
E_form (uncorrected) ... -1.54 eV per atom
Total moment ... 0.0 Bohr magnetons per cell



A geometry-optimized BaLa2I structure, computed with GGA-PBE.

```
8
Lattice="9.881 0.000 0.000 0.000 9.881 0.000 4.940 4.940 3.449" Properties=species:S:1:pos:R:3 pbc="T T T"
I 4.940 4.940 0.000
I 4.940 9.881 1.724
Ba 0.000 0.000 0.000
Ba 9.881 4.940 1.724
La 6.805 2.470 0.862
La 3.076 7.411 0.862
La 7.411 8.016 2.587
La 12.351 11.746 2.587
```

Results
Total energy ... -28.407 eV per cell
Excess energy over the best structure of this formula in the dataset ... 0.000 eV per formula unit
Fermi-level density of states ... 1.46 states/eV per atom
E_form (uncorrected) ... -0.22 eV per atom
Total moment ... 0.0 Bohr magnetons per cell



A geometry-optimized Ba3LaI structure, computed with GGA-PBE.

```
5
Lattice="-4.617 -0.674 -4.593 -4.503 -0.924 4.663 -1.128 6.447 0.188" Properties=species:S:1:pos:R:3 pbc="T T T"
I -5.124 2.424 0.129
Ba -2.251 -0.462 2.331
Ba -0.564 3.223 0.094
Ba -2.309 -0.337 -2.296
La 0.000 0.000 0.000
```

Results
Total energy ... -11.253 eV per cell
Excess energy over the best structure of this formula in the dataset ... 1.612 eV per formula unit
Fermi-level density of states ... 1.22 states/eV per atom
E_form (uncorrected) ... 0.20 eV per atom
Total moment ... 0.0 Bohr magnetons per cell



A geometry-optimized Ba2LaI7 structure, computed with GGA-PBE.

```
40
Lattice="15.759 0.000 0.000 0.000 8.498 0.121 0.000 2.807 14.950" Properties=species:S:1:pos:R:3 pbc="T T T"
I 10.534 9.584 14.145
I 6.296 7.938 0.833
I 8.256 9.391 7.907
I 2.766 9.652 13.026
I 4.096 8.237 6.294
I 11.883 8.589 5.569
I 14.693 8.802 11.186
I 15.528 8.359 3.437
I 5.378 6.899 10.545
I 9.324 5.859 3.367
I 11.219 7.062 9.374
I 10.852 5.618 12.960
I 15.316 6.237 7.961
I 6.991 6.339 14.371
I 14.870 4.966 0.700
I 7.437 5.068 7.110
I 2.973 5.686 2.111
I 3.339 4.243 5.697
I 1.445 5.446 11.703
I 13.258 4.405 4.526
I 7.648 2.945 11.634
I 6.813 2.503 3.885
I 4.003 2.716 9.502
I 11.976 3.068 8.777
I 10.645 1.653 2.045
I 0.377 1.914 7.164
I 14.175 3.367 14.238
I 2.654 1.720 0.925
Ba 8.536 8.003 11.543
Ba 2.186 8.153 9.606
Ba 12.411 7.036 2.299
Ba 5.932 6.083 4.024
Ba 13.811 5.222 11.047
Ba 4.531 4.268 12.772
Ba 10.065 3.152 5.465
Ba 0.657 3.302 3.528
La 13.560 8.904 8.210
La 0.951 7.593 0.537
La 8.830 3.712 14.534
La 5.680 2.401 6.860
```

Results
Total energy ... -144.360 eV per cell
Excess energy over the best structure of this formula in the dataset ... 0.000 eV per formula unit
Fermi-level density of states ... 0.00 states/eV per atom
E_form (uncorrected) ... -1.65 eV per atom
Total moment ... 0.0 Bohr magnetons per cell



A geometry-optimized BaLaI5 structure, computed with GGA-PBE.

```
14
Lattice="4.860 0.000 0.000 0.000 9.249 -0.153 0.000 -0.333 15.405" Properties=species:S:1:pos:R:3 pbc="T T T"
Ba 3.645 0.694 2.268
Ba 1.215 8.221 12.984
La 1.215 3.799 5.364
La 3.645 5.116 9.888
I 1.215 0.601 5.010
I 3.645 1.155 14.266
I 3.645 2.800 7.402
I 1.215 3.346 2.181
I 1.215 3.202 10.745
I 3.645 5.713 4.508
I 3.645 5.570 13.072
I 1.215 6.116 7.850
I 1.215 7.760 0.986
I 3.645 8.315 10.242
```

Results
Total energy ... -51.749 eV per cell
Excess energy over the best structure of this formula in the dataset ... 0.000 eV per formula unit
Fermi-level density of states ... 0.00 states/eV per atom
E_form (uncorrected) ... -1.61 eV per atom
Total moment ... 0.0 Bohr magnetons per cell



A geometry-optimized BaLaI5 structure, computed with GGA-PBE.

```
14
Lattice="-7.571 2.678 -3.408 -5.772 -6.536 0.245 -8.095 1.947 8.895" Properties=species:S:1:pos:R:3 pbc="T T T"
Ba -12.831 -0.016 4.910
Ba -8.607 -1.896 0.822
La -4.048 0.973 4.448
La 0.000 0.000 0.000
I -10.291 1.275 6.803
I -13.744 -1.632 7.952
I -6.052 -0.680 2.745
I -13.469 3.251 3.615
I -11.055 -2.824 3.622
I -10.383 0.912 2.110
I -7.969 -5.162 2.117
I -15.386 -1.232 2.987
I -7.694 -0.280 -2.220
I -11.147 -3.187 -1.071
```

Results
Total energy ... -51.145 eV per cell
Excess energy over the best structure of this formula in the dataset ... 0.302 eV per formula unit
Fermi-level density of states ... 0.00 states/eV per atom
E_form (uncorrected) ... -1.57 eV per atom
Total moment ... 0.0 Bohr magnetons per cell



A geometry-optimized BaLaI5 structure, computed with GGA-PBE.

```
28
Lattice="-11.197 2.341 1.795 -2.189 -4.684 -7.544 -3.052 -15.013 0.538" Properties=species:S:1:pos:R:3 pbc="T T T"
Ba -8.125 -10.201 -0.029
Ba -12.195 -1.525 0.599
Ba -4.242 -15.832 -5.810
Ba -8.313 -7.156 -5.181
La -7.679 -14.526 -2.657
La -12.571 -9.859 -1.917
La -3.867 -7.498 -3.293
La -8.759 -2.830 -2.553
I -6.565 -13.249 -0.008
I -11.558 -10.777 1.008
I -13.268 -15.048 -1.437
I -4.221 -13.612 -3.143
I -10.283 -15.935 -4.155
I -2.641 -9.982 -1.595
I -9.774 -12.081 -2.435
I -3.541 -6.055 -0.517
I -6.400 -9.458 -3.231
I -9.122 -3.461 0.593
I -7.316 -13.896 -5.804
I -10.038 -7.898 -1.980
I -12.896 -11.301 -4.694
I -6.664 -5.276 -2.775
I -13.797 -7.375 -3.615
I -6.155 -1.422 -1.056
I -12.217 -3.745 -2.068
I -3.170 -2.308 -3.773
I -4.879 -6.580 -6.219
I -9.873 -4.108 -5.203
```

Results
Total energy ... -102.743 eV per cell
Excess energy over the best structure of this formula in the dataset ... 0.189 eV per formula unit
Fermi-level density of states ... 0.00 states/eV per atom
E_form (uncorrected) ... -1.58 eV per atom
Total moment ... 0.0 Bohr magnetons per cell



A geometry-optimized Ba2LaI7 structure, computed with GGA-PBE.

```
20
Lattice="10.418 -0.109 0.103 6.129 8.425 0.103 5.839 2.935 10.009" Properties=species:S:1:pos:R:3 pbc="T T T"
Ba 6.743 3.477 3.343
Ba 12.653 6.447 1.866
Ba 9.734 4.804 8.348
Ba 15.643 7.774 6.871
La 10.654 10.337 7.610
La 11.732 0.914 2.605
I 5.708 6.598 0.739
I 14.698 8.794 3.569
I 14.750 4.539 5.752
I 12.188 7.284 7.610
I 3.640 3.237 1.641
I 10.766 9.139 4.471
I 12.863 3.590 9.467
I 9.524 7.660 0.748
I 11.620 2.111 5.743
I 18.747 8.014 8.574
I 10.198 3.966 2.605
I 7.637 6.712 4.462
I 7.689 2.457 6.645
I 16.678 4.653 9.476
```

Results
Total energy ... -71.586 eV per cell
Excess energy over the best structure of this formula in the dataset ... 0.297 eV per formula unit
Fermi-level density of states ... 0.00 states/eV per atom
E_form (uncorrected) ... -1.62 eV per atom
Total moment ... 0.0 Bohr magnetons per cell



Which value of total moment does entry 8 give?
0.0 Bohr magnetons per cell